GGA-PBE PrNd2Sm12, relaxed; ΔE_f = 0.15 eV/atom; volume = 34.8 Å³/atom
1.0
6.630 -1.559 0.000
-1.559 6.630 0.000
0.000 0.000 25.106
Pr Nd Sm
2 4 24
Direct
0.500 0.000 0.999
0.000 0.500 0.001
0.500 0.000 0.267
0.000 0.500 0.274
0.000 0.500 0.733
0.500 0.000 0.726
0.500 0.500 0.800
0.000 0.000 0.800
0.752 0.748 0.923
0.252 0.752 0.871
0.000 0.000 0.328
0.248 0.748 0.129
0.769 0.269 0.582
0.500 0.500 0.328
0.248 0.252 0.923
0.748 0.752 0.077
0.273 0.227 0.560
0.731 0.231 0.418
0.000 0.000 0.672
0.227 0.273 0.440
0.252 0.248 0.077
0.773 0.727 0.440
0.727 0.773 0.560
0.000 0.000 0.200
0.231 0.731 0.582
0.500 0.500 0.672
0.748 0.248 0.871
0.500 0.500 0.200
0.269 0.769 0.418
0.752 0.252 0.129

=====

GGA-PBE AgHgIr2, relaxed; ΔE_f = 0.48 eV/atom; volume = 16.8 Å³/atom
1.0
-2.674 -4.337 -2.413
1.934 -2.237 -4.799
0.634 1.214 5.469
Ir Hg Ag
2 1 1
Direct
0.001 0.001 0.000
0.499 0.499 0.000
0.250 0.750 0.500
0.750 0.250 0.500

=====

GGA-PBE Ac4CoAu2, relaxed; energy above the most stable polymorph in this dataset = 2.99 kcal/mol of atoms; ΔE_f = -0.35 eV/atom; volume = 33.3 Å³/atom
1.0
5.390 0.000 0.000
0.000 5.390 0.000
-2.695 -2.695 8.034
Co Ac Au
1 4 2
Direct
0.000 0.000 0.000
0.815 0.815 0.631
0.185 0.185 0.369
0.000 0.500 0.000
0.500 0.000 0.000
0.625 0.625 0.249
0.375 0.375 0.751

=====

GGA-PBE MgCuBr2F, relaxed; energy above the most stable polymorph in this dataset = 6.85 kcal/mol of atoms; energy relative to the elements, uncorrected = -0.557 eV/atom; volume = 22.4 Å³/atom
1.0
5.554 0.000 0.000
0.000 3.631 0.000
0.000 0.000 5.554
Mg Cu Br F
1 1 2 1
Direct
0.500 0.500 0.500
0.000 0.500 0.000
0.000 0.000 0.500
0.500 0.000 0.000
0.000 0.000 0.000

=====

GGA-PBE NdPa3C4N12, relaxed; energy relative to the elements, uncorrected = -0.632 eV/atom; volume = 13.0 Å³/atom
1.0
-2.355 4.233 4.393
-5.344 -3.478 -1.451
3.267 -4.171 3.833
Nd Pa C N
1 3 4 12
Direct
0.000 0.000 0.000
0.533 0.467 0.000
0.467 0.000 0.533
0.000 0.533 0.467
0.963 0.037 0.500
0.037 0.500 0.963
0.500 0.963 0.037
0.500 0.500 0.500
0.500 0.366 0.634
0.901 0.500 0.099
0.099 0.901 0.500
0.500 0.099 0.901
0.375 0.975 0.177
0.177 0.375 0.975
0.975 0.177 0.375
0.625 0.823 0.025
0.025 0.625 0.823
0.823 0.025 0.625
0.634 0.500 0.366
0.366 0.634 0.500

=====

GGA-PBE LaPm2PrSm2, relaxed; ΔE_f = 0.24 eV/atom; volume = 35.5 Å³/atom
1.0
-3.292 0.857 -0.614
-1.770 -2.462 6.056
2.856 16.319 7.469
La Pm Pr Sm
2 4 2 4
Direct
0.000 0.000 0.000
0.500 0.500 0.500
0.500 0.776 0.348
0.500 0.224 0.652
0.000 0.724 0.848
0.000 0.276 0.152
0.500 0.500 0.000
0.000 0.000 0.500
0.500 0.271 0.318
0.000 0.771 0.182
0.500 0.729 0.682
0.000 0.229 0.818

=====

> Number 5 is which compound?

NdPa3C4N12

=====

> Which value of volume does entry 4 give?

22.4 Å³/atom